PBE-GGA Pa3TiRh12, optimized geometry; total moment = 0.00 Bohr magnetons per cell; calculated formation energy = -0.813 eV/atom; symmetry = P4/mmm (123)
1.0
4.016 0.000 0.000
0.000 4.016 0.000
0.000 0.000 15.980
Pa Ti Rh
3 1 12
Direct
0.000 0.000 0.000
0.000 0.000 0.257
0.000 0.000 0.743
0.000 0.000 0.500
0.000 0.500 0.128
0.000 0.500 0.385
0.000 0.500 0.615
0.000 0.500 0.872
0.500 0.000 0.128
0.500 0.000 0.385
0.500 0.000 0.615
0.500 0.000 0.872
0.500 0.500 0.000
0.500 0.500 0.256
0.500 0.500 0.500
0.500 0.500 0.744

PBE-GGA ErTiAlGa, optimized geometry; total moment = 0.94 Bohr magnetons per cell; calculated formation energy = -0.285 eV/atom; symmetry = F-43m (216)
1.0
0.000 3.379 3.379
3.379 0.000 3.379
3.379 3.379 0.000
Er Ti Al Ga
1 1 1 1
Direct
0.000 0.000 0.000
0.500 0.500 0.500
0.250 0.250 0.250
0.750 0.750 0.750

PBE-GGA Mg2PW, optimized geometry; total moment = 0.00 Bohr magnetons per cell; calculated formation energy = 0.122 eV/atom; symmetry = Imm2 (44)
1.0
-1.609 2.337 4.628
1.609 -2.337 4.628
1.609 2.337 -4.628
Mg P W
2 1 1
Direct
0.000 0.000 0.000
0.711 0.211 0.500
0.469 0.469 0.000
0.282 0.782 0.500

What is the formula in the first record? Pa3TiRh12

What did the first record say?
PBE-GGA Pa3TiRh12, optimized geometry; total moment = 0.00 Bohr magnetons per cell; calculated formation energy = -0.813 eV/atom; symmetry = P4/mmm (123)
1.0
4.016 0.000 0.000
0.000 4.016 0.000
0.000 0.000 15.980
Pa Ti Rh
3 1 12
Direct
0.000 0.000 0.000
0.000 0.000 0.257
0.000 0.000 0.743
0.000 0.000 0.500
0.000 0.500 0.128
0.000 0.500 0.385
0.000 0.500 0.615
0.000 0.500 0.872
0.500 0.000 0.128
0.500 0.000 0.385
0.500 0.000 0.615
0.500 0.000 0.872
0.500 0.500 0.000
0.500 0.500 0.256
0.500 0.500 0.500
0.500 0.500 0.744

Repeat the second record exactly.
PBE-GGA ErTiAlGa, optimized geometry; total moment = 0.94 Bohr magnetons per cell; calculated formation energy = -0.285 eV/atom; symmetry = F-43m (216)
1.0
0.000 3.379 3.379
3.379 0.000 3.379
3.379 3.379 0.000
Er Ti Al Ga
1 1 1 1
Direct
0.000 0.000 0.000
0.500 0.500 0.500
0.250 0.250 0.250
0.750 0.750 0.750

Which of these has the highest total moment? ErTiAlGa